[1]
Density functional theory data (GGA-PBEsol) for a geometry-optimized Sr3Ta2Ti6O21 structure.

Computed properties:
Raw formation energy, eV per atom: -2.92

a b c (Å): 8.8714 8.8714 11.5212
angles (deg): 90.00 90.00 120.00
Last column: magnetic moment on the atom in μB.
Element x y z (fractional)
Ti  0.7611  0.0000  0.9042  -0.02
Ti  0.0000  0.2389  0.0958  -0.02
Ti  0.7611  0.7611  0.4042  -0.02
Ti  0.2389  0.0000  0.4042  -0.02
Ti  0.0000  0.2389  0.4042  -0.02
Ti  0.7611  0.0000  0.5958  -0.02
Ti  0.2389  0.2389  0.9042  -0.02
Ti  0.7611  0.7611  0.0958  -0.02
Ti  0.0000  0.7611  0.9042  -0.02
Ti  0.2389  0.0000  0.0958  -0.02
Ti  0.2389  0.2389  0.5958  -0.02
Ti  0.0000  0.7611  0.5958  -0.02
O  0.3204  0.8358  0.1055  0.13
O  0.6796  0.1642  0.6055  0.13
O  0.7896  0.7896  0.9245  0.05
O  0.0000  0.7896  0.4245  0.05
O  0.6796  0.5154  0.1055  0.13
O  0.8358  0.5154  0.8945  0.13
O  0.5154  0.8358  0.6055  0.13
O  0.6796  0.1642  0.8945  0.13
O  0.0000  0.8069  0.7500  0.03
O  0.3204  0.8358  0.3945  0.13
O  0.3204  0.4846  0.8945  0.13
O  0.2104  0.0000  0.5755  0.05
O  0.0000  0.2104  0.9245  0.05
O  0.2104  0.2104  0.4245  0.05
O  0.1642  0.6796  0.6055  0.13
O  0.1642  0.4846  0.1055  0.13
O  0.7896  0.7896  0.5755  0.05
O  0.7896  0.0000  0.0755  0.05
O  0.2104  0.2104  0.0755  0.05
O  0.0000  0.2104  0.5755  0.05
O  0.8069  0.8069  0.2500  0.03
O  0.4846  0.3204  0.6055  0.13
O  0.1931  0.0000  0.2500  0.03
O  0.4846  0.1642  0.1055  0.13
O  0.1931  0.1931  0.7500  0.03
O  0.8358  0.3204  0.1055  0.13
O  0.1642  0.6796  0.8945  0.13
O  0.0000  0.7896  0.0755  0.05
O  0.6796  0.5154  0.3945  0.13
O  0.8358  0.3204  0.3945  0.13
O  0.4846  0.3204  0.8945  0.13
O  0.2104  0.0000  0.9245  0.05
O  0.3204  0.4846  0.6055  0.13
O  0.0000  0.1931  0.2500  0.03
O  0.1642  0.4846  0.3945  0.13
O  0.4846  0.1642  0.3945  0.13
O  0.7896  0.0000  0.4245  0.05
O  0.5154  0.8358  0.8945  0.13
O  0.5154  0.6796  0.3945  0.13
O  0.5154  0.6796  0.1055  0.13
O  0.8069  0.0000  0.7500  0.03
O  0.8358  0.5154  0.6055  0.13
Ta  0.3333  0.6667  0.5000  -0.04
Ta  0.6667  0.3333  0.0000  -0.04
Ta  0.3333  0.6667  0.0000  -0.04
Ta  0.6667  0.3333  0.5000  -0.04
Sr  0.4045  0.4045  0.2500  0.00
Sr  0.5955  0.5955  0.7500  0.00
Sr  0.0000  0.5955  0.2500  0.00
Sr  0.4045  0.0000  0.7500  0.00
Sr  0.5955  0.0000  0.2500  0.00
Sr  0.0000  0.4045  0.7500  0.00

---

[2]
Density functional theory data (GGA-PBEsol) for a geometry-optimized BeGaCuSi2 structure.

Computed properties:
Raw formation energy, eV per atom: 1.13

a b c (Å): 4.0502 4.6860 4.6860
angles (deg): 90.00 90.00 90.00
Element x y z (fractional)
Ga  0.0000  0.0000  0.0000
Si  0.0000  0.5000  0.0000
Si  0.0000  0.0000  0.5000
Be  0.5000  0.0000  0.0000
Cu  0.5000  0.5000  0.5000

---

[3]
Density functional theory data (GGA-PBEsol) for a geometry-optimized Ag3Pt5 structure.

Computed properties:
E above lowest polymorph, meV/atom: 43
ΔH_f (0 K), eV per atom: 0.035

a b c (Å): 4.8278 4.8322 5.6086
angles (deg): 106.64 90.14 99.68
Element x y z (fractional)
Pt  0.2592  0.5071  0.8669
Pt  0.4961  0.9967  0.2548
Pt  0.9938  0.0055  0.5088
Pt  0.7496  0.4939  0.6253
Pt  0.5010  0.9991  0.7466
Ag  0.0012  0.9997  0.0029
Ag  0.7520  0.4988  0.1251
Ag  0.2471  0.4992  0.3697

---

[4]
Density functional theory data (GGA-PBEsol) for a geometry-optimized TmSi2Ni structure.

Computed properties:
Raw formation energy, eV per atom: -0.90

a b c (Å): 3.8934 3.8904 8.3707
angles (deg): 76.56 90.00 90.00
Element x y z (fractional)
Tm  0.2500  0.8947  0.2105
Tm  0.7500  0.1053  0.7895
Ni  0.7500  0.3239  0.3524
Ni  0.2500  0.6761  0.6476
Si  0.7500  0.4600  0.0802
Si  0.7500  0.7501  0.5001
Si  0.2500  0.5400  0.9198
Si  0.2500  0.2499  0.4999